1.
Density functional theory data (GGA-PBE) for an optimized crystal structure of Tb4GaSe3.

Cell and atoms, written as POSCAR:
```
Tb4GaSe3
1.0
5.825 0.000 0.000
0.000 5.825 0.000
0.000 0.000 5.825
Tb Ga Se
4 1 3
Direct
0.500 0.000 0.000 Tb
0.000 0.500 0.000 Tb
0.000 0.000 0.500 Tb
0.500 0.500 0.500 Tb
0.000 0.000 0.000 Ga
0.000 0.500 0.500 Se
0.500 0.000 0.500 Se
0.500 0.500 0.000 Se
```

**Energy relative to the elements, uncorrected**: -1536 meV per atom
**Total DFT energy (no corrections)**: -5.536 eV/atom
**Volume**: 198 Å³/cell
**Crystal system**: cubic
**Symmetry**: Pm-3m


2.
Density functional theory data (GGA-PBE) for an optimized crystal structure of TlZnAu.

Cell and atoms, written as POSCAR:
```
TlZnAu
1.0
-1.838 -5.889 0.733
0.671 -5.414 2.972
-2.266 0.043 2.530
Au Tl Zn
1 1 1
Direct
0.033 0.033 0.967 Au
0.337 0.337 0.663 Tl
0.630 0.630 0.370 Zn
```

**Total DFT energy (no corrections)**: -2.307 eV/atom
**Volume**: 66 Å³/cell
**ΔE_f**: -1 meV per atom
**Crystal system**: tetragonal
**Symmetry**: I4mm


3.
Density functional theory data (GGA-PBE) for an optimized crystal structure of CaLa2Se.

Cell and atoms, written as POSCAR:
```
CaLa2Se
1.0
-3.068 -2.797 -3.629
-0.992 -5.367 0.785
-5.059 -1.694 1.393
Ca Se La
1 1 2
Direct
0.500 0.500 0.500 Ca
0.750 0.750 0.750 Se
0.000 0.000 0.000 La
0.250 0.250 0.250 La
```

**Energy relative to the elements, uncorrected**: -196 meV per atom
**Total DFT energy (no corrections)**: -4.031 eV/atom
**Volume**: 119 Å³/cell
**Crystal system**: cubic
**Symmetry**: F-43m


4.
Density functional theory data (GGA-PBE) for an optimized crystal structure of TcRuC2.

Cell and atoms, written as POSCAR:
```
TcRuC2
1.0
4.598 0.000 0.000
0.000 4.598 0.000
2.299 2.299 4.604
Ru C Tc
2 4 2
Direct
0.000 0.000 0.000 Ru
0.750 0.250 0.500 Ru
0.628 0.125 0.250 C
0.122 0.625 0.250 C
0.375 0.372 0.750 C
0.875 0.878 0.750 C
0.500 0.500 0.000 Tc
0.250 0.750 0.500 Tc
```

**Total DFT energy (no corrections)**: -8.989 eV/atom
**Volume**: 97 Å³/cell
**ΔE_f**: 534 meV per atom
**Crystal system**: tetragonal
**Symmetry**: I-42d


5.
Density functional theory data (GGA-PBE) for an optimized crystal structure of AlSi2Bi.

Cell and atoms, written as POSCAR:
```
AlSi2Bi
1.0
5.992 0.000 0.000
0.000 5.992 0.000
2.996 2.996 6.064
Si Bi Al
4 2 2
Direct
0.589 0.125 0.250 Si
0.161 0.625 0.250 Si
0.375 0.411 0.750 Si
0.875 0.839 0.750 Si
0.000 0.000 0.000 Bi
0.750 0.250 0.500 Bi
0.500 0.500 0.000 Al
0.250 0.750 0.500 Al
```

**Energy relative to the elements, uncorrected**: 284 meV per atom
**Total DFT energy (no corrections)**: -4.333 eV/atom
**Volume**: 218 Å³/cell
**Crystal system**: tetragonal
**Symmetry**: I-42d


6.
Density functional theory data (GGA-PBE) for an optimized crystal structure of Ag3RuF6.

Cell and atoms, written as POSCAR:
```
Ag3RuF6
1.0
6.056 0.000 -0.273
0.000 5.958 0.000
-0.031 0.000 8.470
Ag Ru F
6 2 12
Direct
0.475 0.072 0.764 Ag
0.500 0.500 0.000 Ag
0.525 0.928 0.236 Ag
0.975 0.428 0.264 Ag
0.000 0.000 0.500 Ag
0.025 0.572 0.736 Ag
0.500 0.500 0.500 Ru
0.000 0.000 0.000 Ru
0.272 0.824 0.935 F
0.341 0.775 0.574 F
0.362 0.544 0.280 F
0.638 0.456 0.720 F
0.659 0.225 0.426 F
0.728 0.176 0.065 F
0.772 0.676 0.435 F
0.841 0.725 0.074 F
0.862 0.956 0.780 F
0.138 0.044 0.220 F
0.159 0.275 0.926 F
0.228 0.324 0.565 F
```

**Energy relative to the elements, uncorrected**: -1221 meV per atom
**Total DFT energy (no corrections)**: -4.127 eV/atom
**Volume**: 306 Å³/cell
**Crystal system**: monoclinic
**Symmetry**: P2_1/c


7.
Density functional theory data (GGA-PBE) for an optimized crystal structure of CeHfCr4.

Cell and atoms, written as POSCAR:
```
CeHfCr4
1.0
-1.072 -4.976 0.113
3.772 -3.413 0.214
0.774 -2.675 4.262
Cr Hf Ce
4 1 1
Direct
0.625 0.625 0.125 Cr
0.625 0.125 0.625 Cr
0.625 0.625 0.625 Cr
0.125 0.625 0.625 Cr
0.000 0.000 0.000 Hf
0.250 0.250 0.250 Ce
```

**Total DFT energy (no corrections)**: -8.873 eV/atom
**Volume**: 93 Å³/cell
**ΔE_f**: 190 meV per atom
**Crystal system**: cubic
**Symmetry**: F-43m


8.
Density functional theory data (GGA-PBE) for an optimized crystal structure of VGaFe6.

Cell and atoms, written as POSCAR:
```
VGaFe6
1.0
-3.987 0.204 -4.970
-0.862 -3.800 5.045
-5.902 8.065 5.065
V Ga Fe
4 4 24
Direct
0.751 0.249 0.750 V
0.249 0.751 0.750 V
0.000 0.000 0.501 V
0.000 0.000 0.999 V
0.746 0.254 0.250 Ga
0.254 0.746 0.250 Ga
0.500 0.500 0.502 Ga
0.500 0.500 0.998 Ga
0.747 0.253 0.499 Fe
0.634 0.881 0.376 Fe
0.366 0.119 0.376 Fe
0.253 0.747 0.499 Fe
0.119 0.366 0.376 Fe
0.881 0.634 0.376 Fe
0.500 0.500 0.750 Fe
0.372 0.118 0.627 Fe
0.118 0.372 0.627 Fe
0.747 0.253 0.001 Fe
0.628 0.882 0.873 Fe
0.372 0.118 0.873 Fe
0.253 0.747 0.001 Fe
0.118 0.372 0.873 Fe
0.882 0.628 0.873 Fe
0.500 0.500 0.250 Fe
0.366 0.119 0.124 Fe
0.119 0.366 0.124 Fe
0.000 0.000 0.750 Fe
0.882 0.628 0.627 Fe
0.628 0.882 0.627 Fe
0.000 0.000 0.250 Fe
0.881 0.634 0.124 Fe
0.634 0.881 0.124 Fe
```

**Total DFT energy (no corrections)**: -7.970 eV/atom
**Volume**: 380 Å³/cell
**ΔE_f**: -105 meV per atom
**Crystal system**: orthorhombic
**Symmetry**: Cmmm


Please write out number 1 again, unchanged.
Density functional theory data (GGA-PBE) for an optimized crystal structure of Tb4GaSe3.

Cell and atoms, written as POSCAR:
```
Tb4GaSe3
1.0
5.825 0.000 0.000
0.000 5.825 0.000
0.000 0.000 5.825
Tb Ga Se
4 1 3
Direct
0.500 0.000 0.000 Tb
0.000 0.500 0.000 Tb
0.000 0.000 0.500 Tb
0.500 0.500 0.500 Tb
0.000 0.000 0.000 Ga
0.000 0.500 0.500 Se
0.500 0.000 0.500 Se
0.500 0.500 0.000 Se
```

**Energy relative to the elements, uncorrected**: -1536 meV per atom
**Total DFT energy (no corrections)**: -5.536 eV/atom
**Volume**: 198 Å³/cell
**Crystal system**: cubic
**Symmetry**: Pm-3m